# BeSiIr2Os PBE relaxed
data_BeSiIr2Os
_chemical_formula_sum 'Be1 Si1 Ir2 Os1'
_space_group_name_H-M_alt 'P 4/m m m'
_space_group_IT_number 123
_space_group_name_Hall '-P 4 2'
_cell_length_a 4.0281
_cell_length_b 4.0281
_cell_length_c 4.1732
_cell_angle_alpha 90.00
_cell_angle_beta 90.00
_cell_angle_gamma 90.00
loop_
_atom_site_label
_atom_site_type_symbol
_atom_site_fract_x
_atom_site_fract_y
_atom_site_fract_z
Be1 Be 0.0000 0.0000 0.0000
Si1 Si 0.0000 0.0000 0.5000
Ir1 Ir 0.0000 0.5000 0.0000
Os1 Os 0.5000 0.5000 0.5000
# E: -6.9814 eV/atom
# DOS at the Fermi energy: 0.41 states/eV per atom